# 1
# NaInO PBE-GGA relaxed
data_NaInO
_cell_length_a 3.3782
_cell_length_b 3.3782
_cell_length_c 5.4628
_cell_angle_alpha 90.00
_cell_angle_beta 90.00
_cell_angle_gamma 120.00
_symmetry_space_group_name_H-M 'P 1'
_symmetry_Int_Tables_number 1
loop_
_symmetry_equiv_pos_as_xyz
'x,y,z'
loop_
_atom_site_label
_atom_site_fract_x
_atom_site_fract_y
_atom_site_fract_z
O1 0.0000 0.0000 0.0112
In1 0.6667 0.3333 0.2482
Na1 0.3333 0.6667 0.7576
# Energy relative to the elements, uncorrected in eV/atom: -1.083



# 2
# Ac2YSnPt6 PBE-GGA relaxed
data_Ac2YSnPt6
_cell_length_a 7.3156
_cell_length_b 6.9331
_cell_length_c 7.3031
_cell_angle_alpha 81.64
_cell_angle_beta 45.67
_cell_angle_gamma 99.81
_symmetry_space_group_name_H-M 'P 1'
_symmetry_Int_Tables_number 1
loop_
_symmetry_equiv_pos_as_xyz
'x,y,z'
loop_
_atom_site_label
_atom_site_fract_x
_atom_site_fract_y
_atom_site_fract_z
Sn1 0.0000 0.0000 0.0000
Ac1 0.2581 0.8108 0.4468
Pt1 0.2425 0.4118 0.8498
Pt2 0.2525 0.2513 0.5053
Ac2 0.7419 0.1892 0.5532
Pt3 0.7475 0.7487 0.4947
Pt4 0.2417 0.7520 0.0080
Pt5 0.7575 0.5882 0.1502
Y1 0.5000 0.5000 0.0000
Pt6 0.7583 0.2480 0.9920
# ΔH_f (0 K) in eV per atom: -0.796



# 3
# CuGe2WAu PBE-GGA relaxed
data_CuGe2WAu
_cell_length_a 4.8662
_cell_length_b 4.7863
_cell_length_c 4.8662
_cell_angle_alpha 90.00
_cell_angle_beta 90.00
_cell_angle_gamma 90.00
_symmetry_space_group_name_H-M 'P 1'
_symmetry_Int_Tables_number 1
loop_
_symmetry_equiv_pos_as_xyz
'x,y,z'
loop_
_atom_site_label
_atom_site_fract_x
_atom_site_fract_y
_atom_site_fract_z
W1 0.0000 0.0000 0.0000
Cu1 0.0000 0.5000 0.0000
Ge1 0.0000 0.0000 0.5000
Ge2 0.5000 0.0000 0.0000
Au1 0.5000 0.5000 0.5000
# ΔH_f (0 K) in eV per atom: 0.984



# 4
# Mn2NbNiOs PBE-GGA relaxed
data_Mn2NbNiOs
_cell_length_a 4.6917
_cell_length_b 4.7851
_cell_length_c 4.6917
_cell_angle_alpha 90.00
_cell_angle_beta 90.00
_cell_angle_gamma 90.00
_symmetry_space_group_name_H-M 'P 1'
_symmetry_Int_Tables_number 1
loop_
_symmetry_equiv_pos_as_xyz
'x,y,z'
loop_
_atom_site_label
_atom_site_fract_x
_atom_site_fract_y
_atom_site_fract_z
Ni1 0.5000 0.5000 0.5000
Mn1 0.0000 0.0000 0.5000
Mn2 0.5000 0.0000 0.0000
Nb1 0.0000 0.5000 0.0000
Os1 0.0000 0.0000 0.0000
# ΔH_f (0 K) in eV per atom: 1.382



# 5
# Sb2PRh PBE-GGA relaxed
data_Sb2PRh
_cell_length_a 6.3208
_cell_length_b 6.3208
_cell_length_c 6.3208
_cell_angle_alpha 150.76
_cell_angle_beta 136.06
_cell_angle_gamma 53.66
_symmetry_space_group_name_H-M 'P 1'
_symmetry_Int_Tables_number 1
loop_
_symmetry_equiv_pos_as_xyz
'x,y,z'
loop_
_atom_site_label
_atom_site_fract_x
_atom_site_fract_y
_atom_site_fract_z
Sb1 0.2535 0.7535 0.5000
Sb2 0.9480 0.9480 0.0000
P1 0.5728 0.5728 0.0000
Rh1 0.7257 0.2257 0.5000
# Energy relative to the elements, uncorrected in eV/atom: 0.055



# 6
# MgCrFe PBE-GGA relaxed
data_MgCrFe
_cell_length_a 6.7373
_cell_length_b 6.5714
_cell_length_c 2.6020
_cell_angle_alpha 82.33
_cell_angle_beta 75.16
_cell_angle_gamma 22.50
_symmetry_space_group_name_H-M 'P 1'
_symmetry_Int_Tables_number 1
loop_
_symmetry_equiv_pos_as_xyz
'x,y,z'
loop_
_atom_site_label
_atom_site_fract_x
_atom_site_fract_y
_atom_site_fract_z
Fe1 0.3448 0.3448 0.6552
Cr1 0.9865 0.9865 0.0135
Mg1 0.6687 0.6687 0.3313
# Energy relative to the lowest polymorph listed for this composition in eV per formula unit: 0.30
# ΔH_f (0 K) in eV per atom: 0.361



# 7
# CsPm2Nd3Te6 PBE-GGA relaxed
data_CsPm2Nd3Te6
_cell_length_a 4.5070
_cell_length_b 9.4490
_cell_length_c 10.2848
_cell_angle_alpha 103.34
_cell_angle_beta 102.66
_cell_angle_gamma 90.00
_symmetry_space_group_name_H-M 'P 1'
_symmetry_Int_Tables_number 1
loop_
_symmetry_equiv_pos_as_xyz
'x,y,z'
loop_
_atom_site_label
_atom_site_fract_x
_atom_site_fract_y
_atom_site_fract_z
Pm1 0.8291 0.6541 0.6582
Nd1 0.1597 0.8173 0.3195
Te1 0.3343 0.4186 0.6686
Te2 0.6657 0.5814 0.3314
Te3 0.9942 0.7233 0.9885
Te4 0.6786 0.0901 0.3572
Te5 0.0058 0.2767 0.0115
Te6 0.3214 0.9099 0.6428
Cs1 0.5000 0.0000 0.0000
Nd2 0.5000 0.5000 0.0000
Pm2 0.1709 0.3459 0.3418
Nd3 0.8403 0.1827 0.6805
# Energy relative to the elements, uncorrected in eV/atom: -1.335



# 8
# Dy3Ni6Ge2 PBE-GGA relaxed
data_Dy3Ni6Ge2
_cell_length_a 7.6726
_cell_length_b 7.6726
_cell_length_c 7.6726
_cell_angle_alpha 109.47
_cell_angle_beta 109.47
_cell_angle_gamma 109.47
_symmetry_space_group_name_H-M 'P 1'
_symmetry_Int_Tables_number 1
loop_
_symmetry_equiv_pos_as_xyz
'x,y,z'
loop_
_atom_site_label
_atom_site_fract_x
_atom_site_fract_y
_atom_site_fract_z
Ni1 0.3294 0.6647 0.6647
Ni2 0.6647 0.0000 0.3353
Ni3 0.6706 0.3353 0.3353
Dy1 0.0000 0.7135 0.7135
Ni4 0.6647 0.3353 0.0000
Dy2 0.2865 0.0000 0.2865
Dy3 0.0000 0.2865 0.2865
Dy4 0.7135 0.0000 0.7135
Ni5 0.3353 0.0000 0.6647
Ni6 0.6647 0.6647 0.3294
Ni7 0.3353 0.6706 0.3353
Ni8 0.0000 0.3353 0.6647
Ni9 0.6647 0.3294 0.6647
Ni10 0.3353 0.6647 0.0000
Ni11 0.0000 0.6647 0.3353
Ge1 0.5000 0.5000 0.5000
Dy5 0.2865 0.2865 0.0000
Dy6 0.7135 0.7135 0.0000
Ge2 0.0000 0.0000 0.5000
Ge3 0.0000 0.5000 0.0000
Ni12 0.3353 0.3353 0.6706
Ge4 0.5000 0.0000 0.0000
# ΔH_f (0 K) in eV per atom: -0.586



# 9
# ErCoOs PBE-GGA relaxed
data_ErCoOs
_cell_length_a 5.2029
_cell_length_b 5.2029
_cell_length_c 5.2029
_cell_angle_alpha 88.94
_cell_angle_beta 119.94
_cell_angle_gamma 121.30
_symmetry_space_group_name_H-M 'P 1'
_symmetry_Int_Tables_number 1
loop_
_symmetry_equiv_pos_as_xyz
'x,y,z'
loop_
_atom_site_label
_atom_site_fract_x
_atom_site_fract_y
_atom_site_fract_z
Co1 0.5000 0.5000 0.5000
Os1 0.0000 0.5000 0.5000
Er1 0.2500 0.1228 0.8728
Co2 0.0000 0.5000 0.0000
Os2 0.5000 0.0000 0.5000
Er2 0.7500 0.8772 0.1272
# Energy relative to the lowest polymorph listed for this composition in eV per formula unit: 0.00
# ΔH_f (0 K) in eV per atom: -0.306



# 10
# SnPb2Au PBE-GGA relaxed
data_SnPb2Au
_cell_length_a 5.7055
_cell_length_b 6.9600
_cell_length_c 6.6648
_cell_angle_alpha 105.05
_cell_angle_beta 115.34
_cell_angle_gamma 90.00
_symmetry_space_group_name_H-M 'P 1'
_symmetry_Int_Tables_number 1
loop_
_symmetry_equiv_pos_as_xyz
'x,y,z'
loop_
_atom_site_label
_atom_site_fract_x
_atom_site_fract_y
_atom_site_fract_z
Pb1 0.7512 0.3758 0.5022
Pb2 0.2488 0.6242 0.4978
Pb3 0.7509 0.8758 0.5022
Sn1 0.9971 0.7500 0.0000
Au1 0.5028 0.2500 0.0000
Sn2 0.0029 0.2500 0.0000
Pb4 0.2491 0.1242 0.4978
Au2 0.4972 0.7500 0.0000
# ΔH_f (0 K) in eV per atom: 0.061



# 11
# KNa2Ni2 PBE-GGA relaxed
data_KNa2Ni2
_cell_length_a 4.8089
_cell_length_b 4.8089
_cell_length_c 6.6894
_cell_angle_alpha 68.93
_cell_angle_beta 68.93
_cell_angle_gamma 90.00
_symmetry_space_group_name_H-M 'P 1'
_symmetry_Int_Tables_number 1
loop_
_symmetry_equiv_pos_as_xyz
'x,y,z'
loop_
_atom_site_label
_atom_site_fract_x
_atom_site_fract_y
_atom_site_fract_z
Ni1 0.4032 0.4032 0.1936
Ni2 0.5968 0.5968 0.8064
Na1 0.2500 0.7500 0.5000
Na2 0.7500 0.2500 0.5000
K1 0.0000 0.0000 0.0000
# Energy relative to the lowest polymorph listed for this composition in eV per formula unit: 0.17
# ΔH_f (0 K) in eV per atom: 0.615



# 12
# Pm4Sm2DyMg PBE-GGA relaxed
data_Pm4Sm2DyMg
_cell_length_a 5.0508
_cell_length_b 5.0593
_cell_length_c 11.3387
_cell_angle_alpha 63.51
_cell_angle_beta 90.00
_cell_angle_gamma 90.00
_symmetry_space_group_name_H-M 'P 1'
_symmetry_Int_Tables_number 1
loop_
_symmetry_equiv_pos_as_xyz
'x,y,z'
loop_
_atom_site_label
_atom_site_fract_x
_atom_site_fract_y
_atom_site_fract_z
Sm1 0.5000 0.0000 0.5000
Pm1 0.0000 0.7471 0.7528
Dy1 0.0000 0.5000 0.5000
Pm2 0.0000 0.2529 0.2472
Pm3 0.5000 0.7525 0.2474
Mg1 0.5000 0.5000 0.0000
Sm2 0.0000 0.0000 0.0000
Pm4 0.5000 0.2475 0.7526
# ΔH_f (0 K) in eV per atom: 0.010